! meta-GGA SCAN AlFeNi2, single point on PBEsol structure; values from VASP
! - Uncorrected energy: -59.7 eV/f.u.
&SYSTEM
  ibrav = 0, nat = 4, ntyp = 3
/
ATOMIC_SPECIES
Al 26.98 Al.upf
Fe 55.84 Fe.upf
Ni 58.69 Ni.upf
CELL_PARAMETERS angstrom
-1.784 1.784 3.515
1.784 -1.784 3.515
1.784 1.784 -3.515
ATOMIC_POSITIONS crystal
Al 0.000 0.000 0.000
Fe 0.250 0.750 0.500
Ni 0.500 0.500 0.000
Ni 0.750 0.250 0.500



! meta-GGA SCAN AlFeNi2, single point on PBEsol structure; values from VASP
! - Uncorrected energy: -59.8 eV/f.u.
&SYSTEM
  ibrav = 0, nat = 4, ntyp = 3
/
ATOMIC_SPECIES
Al 26.98 Al.upf
Fe 55.84 Fe.upf
Ni 58.69 Ni.upf
CELL_PARAMETERS angstrom
2.584 0.000 0.000
0.000 3.392 0.000
0.000 0.000 5.132
ATOMIC_POSITIONS crystal
Al 0.000 0.000 0.000
Fe 0.000 0.000 0.500
Ni 0.500 0.500 0.256
Ni 0.500 0.500 0.744



! meta-GGA SCAN Al5FeNi, single point on PBEsol structure; values from VASP
! - Uncorrected energy: -75.8 eV/f.u.
&SYSTEM
  ibrav = 0, nat = 28, ntyp = 3
/
ATOMIC_SPECIES
Al 26.98 Al.upf
Fe 55.84 Fe.upf
Ni 58.69 Ni.upf
CELL_PARAMETERS angstrom
7.603 0.000 0.000
0.000 3.809 6.613
0.000 -3.809 6.613
ATOMIC_POSITIONS crystal
Al 0.000 0.066 0.066
Al 0.000 0.071 0.657
Al 0.000 0.657 0.071
Al 0.186 0.406 0.406
Al 0.191 0.399 0.991
Al 0.191 0.991 0.399
Al 0.247 0.599 0.599
Al 0.302 0.204 0.796
Al 0.302 0.796 0.204
Al 0.308 0.796 0.796
Al 0.500 0.128 0.128
Al 0.500 0.129 0.540
Al 0.500 0.540 0.129
Al 0.692 0.796 0.796
Al 0.698 0.204 0.796
Al 0.698 0.796 0.204
Al 0.753 0.599 0.599
Al 0.809 0.399 0.991
Al 0.809 0.991 0.399
Al 0.814 0.406 0.406
Fe 0.000 0.267 0.267
Fe 0.000 0.346 0.727
Fe 0.000 0.727 0.346
Fe 0.500 0.934 0.934
Ni 0.000 0.725 0.725
Ni 0.500 0.472 0.472
Ni 0.500 0.478 0.849
Ni 0.500 0.849 0.478



! meta-GGA SCAN AlFe2Ni, single point on PBEsol structure; values from VASP
! - Uncorrected energy: -61.5 eV/f.u.
&SYSTEM
  ibrav = 0, nat = 4, ntyp = 3
/
ATOMIC_SPECIES
Al 26.98 Al.upf
Fe 55.84 Fe.upf
Ni 58.69 Ni.upf
CELL_PARAMETERS angstrom
-1.723 1.723 3.797
1.723 -1.723 3.797
1.723 1.723 -3.797
ATOMIC_POSITIONS crystal
Al 0.000 0.000 0.000
Fe 0.250 0.750 0.500
Fe 0.750 0.250 0.500
Ni 0.500 0.500 0.000